Below is Pr2PuIn9 after structural relaxation, with properties calculated at the PBE level.

Summary:
Formation energy from the elements: -4.7 eV per formula unit
Density of states at the Fermi level: 16.86 states/eV/cell
Space group: P4/mmm (123)
E: -4.435 eV/atom
Crystal system: tetragonal

a b c (Å): 4.707 4.707 14.144
angles (deg): 90.00 90.00 90.00
Element x y z (fractional)
Pr  0.000  0.000  0.167
Pr  0.000  0.000  0.833
Pu  0.000  0.000  0.500
In  0.000  0.500  0.000
In  0.000  0.500  0.338
In  0.000  0.500  0.662
In  0.500  0.000  0.000
In  0.500  0.000  0.338
In  0.500  0.000  0.662
In  0.500  0.500  0.169
In  0.500  0.500  0.500
In  0.500  0.500  0.831


Below is PrPuIn6 after structural relaxation, with properties calculated at the PBE level.

Summary:
Formation energy from the elements: -2.8 eV per formula unit
Density of states at the Fermi level: 14.26 states/eV/cell
Space group: P4/mmm (123)
E: -4.793 eV/atom
Crystal system: tetragonal

a b c (Å): 6.631 6.631 4.706
angles (deg): 90.00 90.00 90.00
Element x y z (fractional)
Pr  0.000  0.000  0.000
Pu  0.500  0.500  0.000
In  0.000  0.500  0.000
In  0.254  0.254  0.500
In  0.254  0.746  0.500
In  0.500  0.000  0.000
In  0.746  0.254  0.500
In  0.746  0.746  0.500


Below is PrPuIn after structural relaxation, with properties calculated at the PBE level.

Summary:
Offset from the most stable computed form: 0.07 eV/f.u.
Formation energy from the elements: -0.2 eV per formula unit
Density of states at the Fermi level: 8.10 states/eV/cell
Space group: P3m1 (156)
E: -7.358 eV/atom
Crystal system: trigonal

a b c (Å): 5.410 5.410 3.367
angles (deg): 90.00 90.00 120.00
Element x y z (fractional)
Pr  0.000  0.000  0.000
Pu  0.667  0.333  0.646
In  0.333  0.667  0.341


Below is Pr4PuIn15 after structural relaxation, with properties calculated at the PBE level.

Summary:
Formation energy from the elements: -8.5 eV per formula unit
Density of states at the Fermi level: 22.44 states/eV/cell
Space group: P4/mmm (123)
E: -4.150 eV/atom
Crystal system: tetragonal

a b c (Å): 4.724 4.724 23.554
angles (deg): 90.00 90.00 90.00
Element x y z (fractional)
Pr  0.000  0.000  0.101
Pr  0.000  0.000  0.302
Pr  0.000  0.000  0.698
Pr  0.000  0.000  0.899
Pu  0.000  0.000  0.500
In  0.000  0.500  0.000
In  0.000  0.500  0.202
In  0.000  0.500  0.404
In  0.000  0.500  0.596
In  0.000  0.500  0.798
In  0.500  0.000  0.000
In  0.500  0.000  0.202
In  0.500  0.000  0.404
In  0.500  0.000  0.596
In  0.500  0.000  0.798
In  0.500  0.500  0.101
In  0.500  0.500  0.302
In  0.500  0.500  0.500
In  0.500  0.500  0.698
In  0.500  0.500  0.899


Below is Pr3PuIn4 after structural relaxation, with properties calculated at the PBE level.

Summary:
Formation energy from the elements: -3.0 eV per formula unit
Density of states at the Fermi level: 13.25 states/eV/cell
Space group: P4/mmm (123)
E: -5.333 eV/atom
Crystal system: tetragonal

a b c (Å): 3.848 3.848 15.742
angles (deg): 90.00 90.00 90.00
Element x y z (fractional)
Pr  0.000  0.000  0.000
Pr  0.000  0.000  0.255
Pr  0.000  0.000  0.745
Pu  0.000  0.000  0.500
In  0.500  0.500  0.128
In  0.500  0.500  0.382
In  0.500  0.500  0.618
In  0.500  0.500  0.872


Below is Pr2PuIn after structural relaxation, with properties calculated at the PBE level.

Summary:
Offset from the most stable computed form: 0.33 eV/f.u.
Formation energy from the elements: -0.2 eV per formula unit
Density of states at the Fermi level: 17.00 states/eV/cell
Space group: Fm-3m (225)
E: -6.720 eV/atom
Crystal system: cubic

a b c (Å): 5.563 5.563 5.563
angles (deg): 60.00 60.00 60.00
Element x y z (fractional)
Pr  0.250  0.250  0.250
Pr  0.750  0.750  0.750
Pu  0.000  0.000  0.000
In  0.500  0.500  0.500


Below is PrPuIn after structural relaxation, with properties calculated at the PBE level.

Summary:
Offset from the most stable computed form: 0.00 eV/f.u.
Formation energy from the elements: -0.3 eV per formula unit
Density of states at the Fermi level: 7.77 states/eV/cell
Space group: I4mm (107)
E: -7.382 eV/atom
Crystal system: tetragonal

a b c (Å): 6.765 6.765 6.765
angles (deg): 147.44 147.44 46.72
Element x y z (fractional)
Pr  0.000  0.000  0.000
Pu  0.313  0.313  0.000
In  0.662  0.662  0.000


Below is Pr2Pu2In3 after structural relaxation, with properties calculated at the PBE level.

Summary:
Formation energy from the elements: -1.7 eV per formula unit
Density of states at the Fermi level: 15.32 states/eV/cell
Space group: Cmmm (65)
E: -6.878 eV/atom
Crystal system: orthorhombic

a b c (Å): 11.886 11.886 3.441
angles (deg): 90.00 90.00 156.49
Element x y z (fractional)
Pr  0.076  0.924  0.000
Pr  0.924  0.076  0.000
Pu  0.215  0.785  0.000
Pu  0.785  0.215  0.000
In  0.347  0.653  0.500
In  0.500  0.500  0.500
In  0.653  0.347  0.500


Below is Pr5PuIn6 after structural relaxation, with properties calculated at the PBE level.

Summary:
Formation energy from the elements: -5.0 eV per formula unit
Density of states at the Fermi level: 13.57 states/eV/cell
Space group: C2/m (12)
E: -4.970 eV/atom
Crystal system: monoclinic

a b c (Å): 9.519 9.519 5.499
angles (deg): 106.69 106.69 48.21
Element x y z (fractional)
Pr  0.000  0.000  0.000
Pr  0.167  0.167  0.667
Pr  0.335  0.335  0.335
Pr  0.665  0.665  0.665
Pr  0.833  0.833  0.333
Pu  0.500  0.500  0.000
In  0.084  0.584  0.834
In  0.251  0.749  0.500
In  0.416  0.916  0.166
In  0.584  0.084  0.834
In  0.749  0.251  0.500
In  0.916  0.416  0.166


Below is Pr2PuIn after structural relaxation, with properties calculated at the PBE level.

Summary:
Offset from the most stable computed form: 0.00 eV/f.u.
Formation energy from the elements: -0.6 eV per formula unit
Density of states at the Fermi level: 12.00 states/eV/cell
Space group: P4/mmm (123)
E: -6.802 eV/atom
Crystal system: tetragonal

a b c (Å): 5.057 5.057 4.698
angles (deg): 90.00 90.00 90.00
Element x y z (fractional)
Pr  0.000  0.500  0.000
Pr  0.500  0.000  0.000
Pu  0.000  0.000  0.500
In  0.500  0.500  0.500


Below is Pr2PuIn2Rh5 after structural relaxation, with properties calculated at the PBE level.

Summary:
Formation energy from the elements: -4.4 eV per formula unit
Density of states at the Fermi level: 28.80 states/eV/cell
Space group: P4/mbm (127)
E: -7.051 eV/atom
Crystal system: tetragonal

a b c (Å): 10.457 10.457 3.763
angles (deg): 90.00 90.00 90.00
Element x y z (fractional)
Pr  0.169  0.331  0.000
Pr  0.331  0.831  0.000
Pr  0.669  0.169  0.000
Pr  0.831  0.669  0.000
Pu  0.000  0.000  0.000
Pu  0.500  0.500  0.000
In  0.129  0.629  0.000
In  0.371  0.129  0.000
In  0.629  0.871  0.000
In  0.871  0.371  0.000
Rh  0.000  0.500  0.500
Rh  0.060  0.804  0.500
Rh  0.196  0.060  0.500
Rh  0.304  0.560  0.500
Rh  0.440  0.304  0.500
Rh  0.500  0.000  0.500
Rh  0.560  0.696  0.500
Rh  0.696  0.440  0.500
Rh  0.804  0.940  0.500
Rh  0.940  0.196  0.500


Below is PrSmPuIn after structural relaxation, with properties calculated at the PBE level.

Summary:
Formation energy from the elements: -0.2 eV per formula unit
Density of states at the Fermi level: 16.74 states/eV/cell
Space group: F-43m (216)
E: -6.702 eV/atom
Crystal system: cubic

a b c (Å): 5.520 5.520 5.520
angles (deg): 60.00 60.00 60.00
Element x y z (fractional)
Pr  0.000  0.000  0.000
Sm  0.500  0.500  0.500
Pu  0.250  0.250  0.250
In  0.750  0.750  0.750